First-principles (PBE+U) data for Pu2CoHgO8 after structural relaxation, as listed in the Alexandria database.

Structure (CIF):
```
data_Pu2CoHgO8
_space_group_name_H-M_alt 'C m m m'
_space_group_IT_number 65
_space_group_name_Hall '-C 2 2'
_cell_length_a 6.7701
_cell_length_b 6.8351
_cell_length_c 7.0919
_cell_angle_alpha 90.00
_cell_angle_beta 90.00
_cell_angle_gamma 90.00
loop_
_atom_site_label
_atom_site_type_symbol
_atom_site_fract_x
_atom_site_fract_y
_atom_site_fract_z
_atom_site_occupancy
Pu1 Pu 0.0000 0.0000 0.2404 1
Co1 Co 0.0000 0.5000 0.0000 1
Hg1 Hg 0.0000 0.5000 0.5000 1
O1 O 0.0000 0.2797 0.2232 1
O2 O 0.1850 0.0000 0.5000 1
O3 O 0.2001 0.0000 0.0000 1
```

Output
- Mass density: 8.9 g/cm3
- M_tot: 0.58 μB per atom
- Total DFT energy (no corrections): -8.011 eV/atom